i:
A plane-wave DFT calculation with PBE was carried out for crystalline PmAlIr at its relaxed geometry.

Cell: 6.536 6.536 6.536 Å, 90.00 90.00 90.00°
Space group F-43m (No. 216)
Inequivalent atoms, fractional coordinates:
Pm 0.000 0.000 0.000 (multiplicity 4)
Al 0.000 0.000 0.500 (multiplicity 4)
Ir 0.250 0.250 0.750 (multiplicity 4)

Results
- magnetization (μB/f.u.) = 0.00


ii:
A plane-wave DFT calculation with PBE was carried out for crystalline PmAlIr at its relaxed geometry.

Cell: 6.696 6.696 6.696 Å, 90.00 90.00 90.00°
Space group F-43m (No. 216)
Inequivalent atoms, fractional coordinates:
Pm 0.000 0.000 0.000 (multiplicity 4)
Al 0.250 0.250 0.750 (multiplicity 4)
Ir 0.250 0.250 0.250 (multiplicity 4)

Results
- magnetization (μB/f.u.) = 0.00


iii:
A plane-wave DFT calculation with PBE was carried out for crystalline PmAlIr at its relaxed geometry.

Cell: 7.423 4.607 7.139 Å, 90.00 90.00 90.00°
Space group Pnma (No. 62)
Inequivalent atoms, fractional coordinates:
Pm 0.028 0.250 0.185 (multiplicity 4)
Al 0.186 0.250 0.609 (multiplicity 4)
Ir 0.155 0.750 0.430 (multiplicity 4)

Results
- magnetization (μB/f.u.) = 0.00


Question: of the structures shown, which is the least stable? Reply: ii.